Entry 1:
Compound: Li2MgZrIn2Pt2
Source: the Open Quantum Materials Database
Functional: PBE
Structure: optimized geometry

- Space group: P-4m2, No. 115

a = 4.6182 Å, b = 4.6182 Å, c = 6.5650 Å
α = 90.00°, β = 90.00°, γ = 90.00°
Fractional coordinates of all 8 atoms:
Li 0.0000 0.5000 0.2289
Li 0.5000 0.0000 0.7711
Mg 0.5000 0.5000 0.0000
Zr 0.0000 0.0000 0.5000
In 0.0000 0.0000 0.0000
In 0.5000 0.5000 0.5000
Pt 0.0000 0.5000 0.7423
Pt 0.5000 0.0000 0.2577


Entry 2:
Compound: Nd2In8Ir
Source: the Open Quantum Materials Database
Functional: PBE
Structure: optimized geometry

- Space group: P4/mmm, No. 123

a = 4.7034 Å, b = 4.7034 Å, c = 12.3336 Å
α = 90.00°, β = 90.00°, γ = 90.00°
Fractional coordinates of all 11 atoms:
Nd 0.0000 0.0000 0.1937
Nd 0.0000 0.0000 0.8063
In 0.0000 0.5000 0.0000
In 0.0000 0.5000 0.3791
In 0.0000 0.5000 0.6209
In 0.5000 0.0000 0.0000
In 0.5000 0.0000 0.3791
In 0.5000 0.0000 0.6209
In 0.5000 0.5000 0.1933
In 0.5000 0.5000 0.8067
Ir 0.0000 0.0000 0.5000


Entry 3:
Compound: Nd3Zn2Si4Au2
Source: the Open Quantum Materials Database
Functional: PBE
Structure: optimized geometry

- Space group: Immm, No. 71
- Distance to the lowest polymorph of the same formula: 0 meV per atom

a = 12.9357 Å, b = 12.9357 Å, c = 12.9357 Å
α = 161.36°, β = 161.01°, γ = 26.73°
Fractional coordinates of all 11 atoms:
Nd 0.0000 0.0000 0.0000
Nd 0.3526 0.8526 0.5000
Nd 0.6474 0.1474 0.5000
Zn 0.2502 0.2502 0.0000
Zn 0.7498 0.7498 0.0000
Si 0.1929 0.6929 0.5000
Si 0.4529 0.4529 0.0000
Si 0.5471 0.5471 0.0000
Si 0.8071 0.3071 0.5000
Au 0.0956 0.5956 0.5000
Au 0.9044 0.4044 0.5000


Entry 4:
Compound: AgIr3Pd
Source: the Open Quantum Materials Database
Functional: PBE
Structure: optimized geometry

- Space group: I4/mcm, No. 140
- Formation energy: 1.517 eV per atom

a = 6.6904 Å, b = 6.6904 Å, c = 6.6904 Å
α = 123.59°, β = 123.59°, γ = 83.88°
Fractional coordinates of all 10 atoms:
Ag 0.2500 0.7500 0.5000
Ag 0.7500 0.2500 0.5000
Ir 0.1310 0.6310 0.7620
Ir 0.2500 0.2500 0.0000
Ir 0.3690 0.1310 0.5000
Ir 0.6310 0.8690 0.5000
Ir 0.7500 0.7500 0.0000
Ir 0.8690 0.3690 0.2380
Pd 0.0000 0.0000 0.0000
Pd 0.5000 0.5000 0.0000


Short version: electronic total energy = -0.16909; -0.15013; -0.17513; -0.19831 Ha/atom, in the order given.